Entry 1:
## PmNd2Te (PBE)

Data for an optimized crystal structure of PmNd2Te.

Summary:
Symmetry = R3m
Relative energy among the computed polymorphs = 127 meV per atom
Raw total energy = -19.68 eV/cell

Cell lengths 10.239, 10.239, 10.239 Å; angles 22.70, 22.70, 22.70 degrees
Fractional coordinates of all 4 atoms:
Pm  0.000  0.000  0.000
Nd  0.238  0.238  0.238
Nd  0.428  0.428  0.428
Te  0.833  0.833  0.833

***

Entry 2:
## PmNd2Te (PBE)

Data for an optimized crystal structure of PmNd2Te.

Summary:
Symmetry = P4/mmm
Relative energy among the computed polymorphs = 188 meV per atom
Raw total energy = -19.44 eV/cell

Cell lengths 5.639, 5.639, 3.887 Å; angles 90.00, 90.00, 90.00 degrees
Fractional coordinates of all 4 atoms:
Pm  0.000  0.000  0.000
Nd  0.000  0.500  0.500
Nd  0.500  0.000  0.500
Te  0.500  0.500  0.000

***

Entry 3:
## Pm4NdTe7 (PBE)

Data for an optimized crystal structure of Pm4NdTe7.

Summary:
Symmetry = Cm
Raw total energy = -62.90 eV/cell

Cell lengths 7.652, 7.652, 13.468 Å; angles 103.71, 103.71, 32.97 degrees
Fractional coordinates of all 12 atoms:
Pm  0.000  0.000  0.000
Pm  0.184  0.184  0.765
Pm  0.585  0.585  0.390
Pm  0.885  0.885  0.578
Nd  0.769  0.769  0.154
Te  0.141  0.141  0.228
Te  0.224  0.224  0.529
Te  0.385  0.385  0.076
Te  0.546  0.546  0.625
Te  0.626  0.626  0.925
Te  0.846  0.846  0.794
Te  0.923  0.923  0.362

***

Entry 4:
## Pm2NdTe2 (PBE)

Data for an optimized crystal structure of Pm2NdTe2.

Summary:
Symmetry = P6_3/mmc
Raw total energy = -51.19 eV/cell

Cell lengths 4.201, 4.201, 22.112 Å; angles 90.00, 90.00, 120.00 degrees
Fractional coordinates of all 10 atoms:
Pm  0.333  0.667  0.066
Pm  0.333  0.667  0.434
Pm  0.667  0.333  0.566
Pm  0.667  0.333  0.934
Nd  0.000  0.000  0.250
Nd  0.000  0.000  0.750
Te  0.333  0.667  0.658
Te  0.333  0.667  0.842
Te  0.667  0.333  0.158
Te  0.667  0.333  0.342

***

Entry 5:
## PmNdTe (PBE)

Data for an optimized crystal structure of PmNdTe.

Summary:
Symmetry = C2/m
Relative energy among the computed polymorphs = 0 meV per atom
Raw total energy = -30.62 eV/cell

Cell lengths 6.281, 6.281, 8.861 Å; angles 115.93, 115.93, 37.88 degrees
Fractional coordinates of all 6 atoms:
Pm  0.064  0.064  0.343
Pm  0.936  0.936  0.657
Nd  0.350  0.350  0.953
Nd  0.650  0.650  0.047
Te  0.336  0.336  0.330
Te  0.664  0.664  0.670

***

Entry 6:
## PmNd4Te7 (PBE)

Data for an optimized crystal structure of PmNd4Te7.

Summary:
Symmetry = Cm
Raw total energy = -63.02 eV/cell

Cell lengths 7.685, 7.685, 13.495 Å; angles 103.78, 103.78, 33.00 degrees
Fractional coordinates of all 12 atoms:
Pm  0.000  0.000  0.000
Nd  0.115  0.115  0.423
Nd  0.230  0.230  0.848
Nd  0.415  0.415  0.613
Nd  0.816  0.816  0.235
Te  0.077  0.077  0.640
Te  0.153  0.153  0.206
Te  0.375  0.375  0.075
Te  0.454  0.454  0.375
Te  0.614  0.614  0.924
Te  0.777  0.777  0.472
Te  0.858  0.858  0.774

***

Entry 7:
## PmNdTe2 (PBE)

Data for an optimized crystal structure of PmNdTe2.

Summary:
Symmetry = C2/m
Relative energy among the computed polymorphs = 9 meV per atom
Raw total energy = -21.46 eV/cell

Cell lengths 4.499, 4.499, 7.721 Å; angles 106.86, 106.86, 59.87 degrees
Fractional coordinates of all 4 atoms:
Pm  0.000  0.000  0.000
Nd  0.500  0.500  0.500
Te  0.251  0.251  0.753
Te  0.749  0.749  0.247

***

Entry 8:
## Pm5NdTe4 (PBE)

Data for an optimized crystal structure of Pm5NdTe4.

Summary:
Symmetry = Pmmn
Raw total energy = -99.37 eV/cell

Cell lengths 9.342, 10.039, 7.719 Å; angles 90.00, 90.00, 90.00 degrees
Fractional coordinates of all 20 atoms:
Pm  0.049  0.056  0.243
Pm  0.049  0.444  0.243
Pm  0.250  0.750  0.223
Pm  0.451  0.056  0.243
Pm  0.451  0.444  0.243
Pm  0.549  0.556  0.757
Pm  0.549  0.944  0.757
Pm  0.750  0.250  0.777
Pm  0.951  0.556  0.757
Pm  0.951  0.944  0.757
Nd  0.250  0.250  0.858
Nd  0.750  0.750  0.142
Te  0.022  0.250  0.560
Te  0.250  0.546  0.933
Te  0.250  0.954  0.933
Te  0.478  0.250  0.560
Te  0.522  0.750  0.440
Te  0.750  0.046  0.067
Te  0.750  0.454  0.067
Te  0.978  0.750  0.440

***

Entry 9:
## Pm3Nd2Te6 (PBE)

Data for an optimized crystal structure of Pm3Nd2Te6.

Summary:
Symmetry = C2/m
Raw total energy = -58.82 eV/cell

Cell lengths 7.706, 7.706, 7.709 Å; angles 99.68, 99.68, 119.77 degrees
Fractional coordinates of all 11 atoms:
Pm  0.000  0.000  0.000
Pm  0.331  0.669  0.000
Pm  0.669  0.331  0.000
Nd  0.164  0.836  0.500
Nd  0.836  0.164  0.500
Te  0.096  0.419  0.255
Te  0.260  0.260  0.747
Te  0.419  0.096  0.255
Te  0.581  0.904  0.745
Te  0.740  0.740  0.253
Te  0.904  0.581  0.745

***

Entry 10:
## PmNdTe (PBE)

Data for an optimized crystal structure of PmNdTe.

Summary:
Symmetry = P2_1/m
Relative energy among the computed polymorphs = 51 meV per atom
Raw total energy = -30.32 eV/cell

Cell lengths 6.345, 4.116, 8.125 Å; angles 90.00, 106.85, 90.00 degrees
Fractional coordinates of all 6 atoms:
Pm  0.223  0.250  0.451
Pm  0.777  0.750  0.549
Nd  0.176  0.250  0.891
Nd  0.824  0.750  0.109
Te  0.363  0.750  0.202
Te  0.637  0.250  0.798

***

Entry 11:
## PmNd5Te6 (PBE)

Data for an optimized crystal structure of PmNd5Te6.

Summary:
Symmetry = C2/m
Raw total energy = -64.51 eV/cell

Cell lengths 7.802, 7.802, 7.765 Å; angles 99.65, 99.65, 120.21 degrees
Fractional coordinates of all 12 atoms:
Pm  0.000  0.000  0.000
Nd  0.168  0.832  0.500
Nd  0.333  0.667  0.000
Nd  0.500  0.500  0.500
Nd  0.667  0.333  0.000
Nd  0.832  0.168  0.500
Te  0.083  0.414  0.249
Te  0.248  0.248  0.750
Te  0.414  0.083  0.249
Te  0.586  0.917  0.751
Te  0.752  0.752  0.250
Te  0.917  0.586  0.751

***

Entry 12:
## Pm5NdTe8 (PBE)

Data for an optimized crystal structure of Pm5NdTe8.

Summary:
Symmetry = I-4
Raw total energy = -73.46 eV/cell

Cell lengths 8.255, 8.255, 8.255 Å; angles 108.63, 108.63, 111.16 degrees
Fractional coordinates of all 14 atoms:
Pm  0.000  0.000  0.000
Pm  0.226  0.126  0.602
Pm  0.376  0.774  0.899
Pm  0.524  0.624  0.398
Pm  0.874  0.476  0.101
Nd  0.750  0.250  0.500
Te  0.124  0.379  0.394
Te  0.130  0.375  0.897
Te  0.270  0.876  0.255
Te  0.478  0.233  0.103
Te  0.621  0.015  0.745
Te  0.625  0.522  0.755
Te  0.767  0.870  0.245
Te  0.985  0.730  0.606

***

Entry 13:
## PmNdTe (PBE)

Data for an optimized crystal structure of PmNdTe.

Summary:
Symmetry = P3m1
Relative energy among the computed polymorphs = 79 meV per atom
Raw total energy = -15.08 eV/cell

Cell lengths 4.130, 4.130, 7.081 Å; angles 90.00, 90.00, 120.00 degrees
Fractional coordinates of all 3 atoms:
Pm  0.000  0.000  0.000
Nd  0.667  0.333  0.589
Te  0.333  0.667  0.292

***

Entry 14:
## PmNdTe2 (PBE)

Data for an optimized crystal structure of PmNdTe2.

Summary:
Symmetry = Fm-3m
Relative energy among the computed polymorphs = 111 meV per atom
Raw total energy = -21.05 eV/cell

Cell lengths 5.468, 5.468, 5.468 Å; angles 60.00, 60.00, 60.00 degrees
Fractional coordinates of all 4 atoms:
Pm  0.000  0.000  0.000
Nd  0.500  0.500  0.500
Te  0.250  0.250  0.250
Te  0.750  0.750  0.750

***

Entry 15:
## PmNd3Te6 (PBE)

Data for an optimized crystal structure of PmNd3Te6.

Summary:
Symmetry = C2/m
Relative energy among the computed polymorphs = 153 meV per atom
Raw total energy = -50.57 eV/cell

Cell lengths 8.274, 8.274, 7.807 Å; angles 118.04, 118.04, 62.39 degrees
Fractional coordinates of all 10 atoms:
Pm  0.000  0.000  0.000
Nd  0.250  0.250  0.818
Nd  0.500  0.500  0.500
Nd  0.750  0.750  0.182
Te  0.161  0.662  0.160
Te  0.249  0.249  0.419
Te  0.338  0.839  0.840
Te  0.662  0.161  0.160
Te  0.751  0.751  0.581
Te  0.839  0.338  0.840

***

Entry 16:
## PmNdTe2 (PBE)

Data for an optimized crystal structure of PmNdTe2.

Summary:
Symmetry = R-3m
Relative energy among the computed polymorphs = 504 meV per atom
Raw total energy = -19.48 eV/cell

Cell lengths 10.208, 10.208, 10.208 Å; angles 24.73, 24.73, 24.73 degrees
Fractional coordinates of all 4 atoms:
Pm  0.000  0.000  0.000
Nd  0.500  0.500  0.500
Te  0.103  0.103  0.103
Te  0.897  0.897  0.897

***

Entry 17:
## Pm2Nd5Te4 (PBE)

Data for an optimized crystal structure of Pm2Nd5Te4.

Summary:
Symmetry = C2/m
Raw total energy = -54.17 eV/cell

Cell lengths 13.102, 13.102, 7.554 Å; angles 94.40, 94.40, 17.53 degrees
Fractional coordinates of all 11 atoms:
Pm  0.235  0.235  0.250
Pm  0.765  0.765  0.750
Nd  0.088  0.088  0.173
Nd  0.144  0.144  0.648
Nd  0.500  0.500  0.500
Nd  0.856  0.856  0.352
Nd  0.912  0.912  0.827
Te  0.034  0.034  0.798
Te  0.332  0.332  0.009
Te  0.668  0.668  0.991
Te  0.966  0.966  0.202

***

Entry 18:
## PmNd2Te3 (PBE)

Data for an optimized crystal structure of PmNd2Te3.

Summary:
Symmetry = Immm
Relative energy among the computed polymorphs = 0 meV per atom
Raw total energy = -32.21 eV/cell

Cell lengths 7.757, 7.757, 7.757 Å; angles 146.19, 131.84, 60.14 degrees
Fractional coordinates of all 6 atoms:
Pm  0.000  0.000  0.000
Nd  0.331  0.331  0.000
Nd  0.669  0.669  0.000
Te  0.165  0.665  0.500
Te  0.500  0.000  0.500
Te  0.835  0.335  0.500

***

Entry 19:
## Pm3Nd4Te8 (PBE)

Data for an optimized crystal structure of Pm3Nd4Te8.

Summary:
Symmetry = C2/m
Raw total energy = -80.31 eV/cell

Cell lengths 8.932, 8.932, 8.929 Å; angles 119.98, 119.98, 90.01 degrees
Fractional coordinates of all 15 atoms:
Pm  0.000  0.000  0.000
Pm  0.000  0.500  0.500
Pm  0.500  0.000  0.500
Nd  0.000  0.000  0.500
Nd  0.000  0.500  0.000
Nd  0.500  0.000  0.000
Nd  0.500  0.500  0.000
Te  0.249  0.751  0.000
Te  0.256  0.256  0.013
Te  0.256  0.256  0.498
Te  0.256  0.744  0.500
Te  0.744  0.256  0.500
Te  0.744  0.744  0.502
Te  0.744  0.744  0.987
Te  0.751  0.249  0.000

***

Entry 20:
## Pm3NdTe4 (PBE)

Data for an optimized crystal structure of Pm3NdTe4.

Summary:
Symmetry = P6_3/mmc
Relative energy among the computed polymorphs = 8 meV per atom
Raw total energy = -85.60 eV/cell

Cell lengths 4.401, 4.401, 30.235 Å; angles 90.00, 90.00, 120.00 degrees
Fractional coordinates of all 16 atoms:
Pm  0.000  0.000  0.000
Pm  0.000  0.000  0.500
Pm  0.333  0.667  0.123
Pm  0.333  0.667  0.377
Pm  0.667  0.333  0.623
Pm  0.667  0.333  0.877
Nd  0.333  0.667  0.750
Nd  0.667  0.333  0.250
Te  0.000  0.000  0.186
Te  0.000  0.000  0.314
Te  0.000  0.000  0.686
Te  0.000  0.000  0.814
Te  0.333  0.667  0.562
Te  0.333  0.667  0.938
Te  0.667  0.333  0.062
Te  0.667  0.333  0.438

***

Entry 21:
## Pm3NdTe4 (PBE)

Data for an optimized crystal structure of Pm3NdTe4.

Summary:
Symmetry = Cmmm
Relative energy among the computed polymorphs = 0 meV per atom
Raw total energy = -42.87 eV/cell

Cell lengths 7.774, 7.774, 4.432 Å; angles 90.00, 90.00, 108.97 degrees
Fractional coordinates of all 8 atoms:
Pm  0.000  0.000  0.000
Pm  0.000  0.500  0.500
Pm  0.500  0.000  0.500
Nd  0.500  0.500  0.000
Te  0.248  0.248  0.500
Te  0.249  0.751  0.000
Te  0.751  0.249  0.000
Te  0.752  0.752  0.500

***

Entry 22:
## PmNdTe2 (PBE)

Data for an optimized crystal structure of PmNdTe2.

Summary:
Symmetry = R3m
Relative energy among the computed polymorphs = 0 meV per atom
Raw total energy = -21.50 eV/cell

Cell lengths 8.202, 8.202, 8.202 Å; angles 30.77, 30.77, 30.77 degrees
Fractional coordinates of all 4 atoms:
Pm  0.000  0.000  0.000
Nd  0.175  0.175  0.175
Te  0.419  0.419  0.419
Te  0.589  0.589  0.589

***

Entry 23:
## Pm3Nd2Te8 (PBE)

Data for an optimized crystal structure of Pm3Nd2Te8.

Summary:
Symmetry = C2/m
Raw total energy = -65.63 eV/cell

Cell lengths 9.034, 9.034, 7.693 Å; angles 106.31, 106.31, 59.37 degrees
Fractional coordinates of all 13 atoms:
Pm  0.000  0.000  0.000
Pm  0.259  0.741  0.500
Pm  0.741  0.259  0.500
Nd  0.252  0.252  0.833
Nd  0.748  0.748  0.167
Te  0.121  0.121  0.418
Te  0.125  0.632  0.086
Te  0.368  0.875  0.914
Te  0.380  0.380  0.594
Te  0.620  0.620  0.406
Te  0.632  0.125  0.086
Te  0.875  0.368  0.914
Te  0.879  0.879  0.582

***

Calculated values (μB/atom) of total magnetic moment for the records, taken in order: 0.082, 0.000, 0.000, 0.131, 0.000, 0.000, 0.000, 0.000, 0.000, 0.010, 0.000, 0.000, 0.438, 0.000, 0.000, 0.000, 0.001, 0.000, 0.000, 0.000, 0.000, 0.000, 0.000.
Calculated values (eV/atom) of E_form (uncorrected) for the records, taken in order: -0.563, -0.502, -1.428, -1.008, -0.884, -1.434, -1.416, -0.860, -1.471, -0.833, -1.422, -1.415, -0.805, -1.313, -1.266, -0.921, -0.751, -1.417, -1.457, -1.402, -1.410, -1.424, -1.285.